#a
Density functional theory data (PBE) for an optimized crystal structure of In2MoBr.

POSCAR file:
```
In2MoBr
1.0
3.258 0.000 0.000
0.000 5.195 0.000
0.000 0.000 5.411
Br Mo In
1 1 2
direct
0.000 0.500 0.500 Br
0.500 0.000 0.500 Mo
0.500 0.500 0.000 In
0.000 0.000 0.000 In
```

N(E_F) in states/eV/atom: 0.8636
Total magnetization in μB/f.u.: 2.46


#b
Density functional theory data (PBE) for an optimized crystal structure of In2MoBr.

POSCAR file:
```
In2MoBr
1.0
-0.242 4.509 -1.434
-1.353 0.882 3.001
4.353 1.349 3.505
In Br Mo
2 1 1
direct
0.500 0.281 0.313 In
0.000 0.963 0.947 In
0.500 0.552 0.771 Br
0.000 0.704 0.468 Mo
```

N(E_F) in states/eV/atom: 0.5755
Total magnetization in μB/f.u.: 1.59


#c
Density functional theory data (PBE) for an optimized crystal structure of In2MoBr.

POSCAR file:
```
In2MoBr
1.0
5.681 0.195 0.000
2.135 5.269 0.000
-3.908 -2.732 3.095
Mo In Br
1 2 1
direct
0.500 0.500 0.000 Mo
0.250 0.750 0.500 In
0.000 0.000 0.000 In
0.750 0.250 0.500 Br
```

N(E_F) in states/eV/atom: 0.6998
Total magnetization in μB/f.u.: 2.26


#d
Density functional theory data (PBE) for an optimized crystal structure of In2MoBr.

POSCAR file:
```
In2MoBr
1.0
-4.096 3.863 0.342
-5.003 -1.981 1.692
5.308 -0.392 1.868
In Mo Br
2 1 1
direct
0.000 0.000 0.000 In
0.500 0.500 0.000 In
0.250 0.750 0.500 Mo
0.750 0.250 0.500 Br
```

N(E_F) in states/eV/atom: 0.6184
Total magnetization in μB/f.u.: 1.73


Consider the structures shown above. The most stable of them is #b.